Here is a relaxed structure of HfPaRh6 from Alexandria via LeMat-Bulk. Energies are from PBE-GGA.

Structure (POSCAR):
```
HfPaRh6
1.0
3.437 -5.595 0.000
3.437 5.595 0.000
-0.455 0.000 6.929
Hf Pa Rh
2 2 12
Cartesian
1.718 2.797 0.000
1.718 -2.797 0.000
1.491 2.797 3.465
1.491 -2.797 3.465
2.863 4.267 5.461
3.555 4.267 1.469
1.167 0.000 3.776
1.611 0.000 6.561
2.995 1.337 1.936
3.424 1.337 4.993
2.995 -1.337 1.936
3.424 -1.337 4.993
4.808 0.000 0.368
5.251 0.000 3.154
2.863 -4.267 5.461
3.555 -4.267 1.469
```

As for the formation energy: -4.3 eV/f.u. The value obtained for the relative energy among the computed polymorphs is 289 meV/atom. As for the symmetry: C2/m (12).